A relaxed Ti6CdIn crystal. Source: the Alexandria database, functional PBE.

Unit cell a=4.1552 b=4.1552 c=8.2959 alpha=90.00 beta=90.00 gamma=90.00
With the nearest neighbours (Å) after each atom.
Element x y z (fractional)
Ti (0.0000, 0.0000, 0.0000)  8 Ti 2.93, 4 Cd 2.94
Ti (0.0000, 0.0000, 0.5000)  8 Ti 2.94, 4 In 2.94
Ti (0.0000, 0.5000, 0.2498)  2 Cd 2.93, 8 Ti 2.93-2.94, 2 In 2.94
Ti (0.0000, 0.5000, 0.7502)  2 Cd 2.93, 8 Ti 2.93-2.94, 2 In 2.94
Ti (0.5000, 0.0000, 0.2498)  2 Cd 2.93, 8 Ti 2.93-2.94, 2 In 2.94
Ti (0.5000, 0.0000, 0.7502)  2 Cd 2.93, 8 Ti 2.93-2.94, 2 In 2.94
Cd (0.5000, 0.5000, 0.0000)  12 Ti 2.93-2.94
In (0.5000, 0.5000, 0.5000)  12 Ti 2.94

The formation energy comes out at -0.0407 eV/atom. As for the crystal system: tetragonal.

A relaxed SmHoTmAl crystal. Source: the Alexandria database, functional PBE.

Unit cell a=3.5063 b=3.5063 c=8.9911 alpha=90.00 beta=90.00 gamma=90.00
With the nearest neighbours (Å) after each atom.
Element x y z (fractional)
Sm (0.0000, 0.0000, 0.0000)  4 Sm 3.51, 4 Tm 3.58, 4 Ho 3.61
Ho (0.5000, 0.5000, 0.7085)  4 Al 3.13, 4 Ho 3.51
Tm (0.5000, 0.5000, 0.2868)  4 Al 3.11
Al (0.0000, 0.0000, 0.4957)  4 Tm 3.11, 4 Ho 3.13

The formation energy comes out at -0.1978 eV/atom. As for the crystal system: tetragonal.

A relaxed LaGe2As2 crystal. Source: the Alexandria database, functional PBE.

Unit cell a=5.2442 b=5.2442 c=8.5361 alpha=90.00 beta=90.00 gamma=90.00
With the nearest neighbours (Å) after each atom.
Element x y z (fractional)
La (0.0000, 0.0000, 0.0000)  2 Ge 2.98
La (0.5000, 0.5000, 0.5000)  2 Ge 2.98
Ge (0.0000, 0.0000, 0.3492)  1 Ge 2.57, 4 As 2.76
Ge (0.0000, 0.0000, 0.6508)  1 Ge 2.57, 4 As 2.76
Ge (0.5000, 0.5000, 0.1508)  1 Ge 2.57, 4 As 2.76
Ge (0.5000, 0.5000, 0.8492)  1 Ge 2.57, 4 As 2.76
As (0.0000, 0.5000, 0.2500)  4 Ge 2.76
As (0.0000, 0.5000, 0.7500)  4 Ge 2.76
As (0.5000, 0.0000, 0.2500)  4 Ge 2.76
As (0.5000, 0.0000, 0.7500)  4 Ge 2.76

The formation energy comes out at -0.3861 eV/atom. As for the crystal system: tetragonal.